A plane-wave DFT calculation with PBE was carried out for a geometry-optimized Pm3GeAs2 structure.

```
Pm3GeAs2
1.0
-2.919 6.537 -1.473
-1.285 -3.399 -6.400
-3.939 -1.801 5.949
Pm Ge As
6 2 4
Cartesian
-1.508 -1.123 0.942
-2.514 1.873 -1.904
-0.642 -1.699 -3.200
-6.635 2.459 -2.866
-3.429 2.368 2.238
-5.629 -0.536 -0.020
-3.120 -1.099 -1.624
-5.023 2.436 -0.299
-2.235 -1.631 -5.739
-4.006 -0.566 2.496
-5.907 2.968 3.816
-4.137 1.903 -4.420
```

Results
Space group: C2/c, No. 15
Calculated formation energy: -1.23 eV per atom